1.
First-principles (PBE) data for an optimized crystal structure of Hf2Si3Ni, as listed in Alexandria.

Cell lengths 7.7229, 7.6110, 5.2980 Å; angles 70.93, 68.66, 40.42 degrees
With the nearest neighbours (Å) after each atom.
Element x y z (fractional)
1 Hf 0.2406 0.7594 0.7594  10 Si 2.89-2.90, 2 Ni 2.91
2 Hf 0.2500 0.2500 0.2500  8 Si 2.84-2.85, 4 Ni 2.88
3 Hf 0.7500 0.7500 0.7500  8 Si 2.84-2.85, 4 Ni 2.88
4 Hf 0.7594 0.2406 0.2406  10 Si 2.89-2.90, 2 Ni 2.91
5 Si 0.1719 0.6559 0.3441  1 Ni 2.15, 2 Si 2.30
6 Si 0.1727 0.1727 0.8273  1 Ni 2.16, 2 Si 2.30
7 Si 0.3441 0.8281 0.1719  1 Ni 2.15, 2 Si 2.30
8 Si 0.6559 0.1719 0.8281  1 Ni 2.15, 2 Si 2.30
9 Si 0.8273 0.8273 0.1727  1 Ni 2.16, 2 Si 2.30
10 Si 0.8281 0.3441 0.6559  1 Ni 2.15, 2 Si 2.30
11 Ni 0.3341 0.3341 0.6659  3 Si 2.15-2.16
12 Ni 0.6659 0.6659 0.3341  3 Si 2.15-2.16

Space group: Fmmm, No. 69

***

2.
First-principles (PBE) data for an optimized crystal structure of HfSi2Ni9, as listed in Alexandria.

Cell lengths 3.6091, 3.6091, 10.5807 Å; angles 90.00, 90.00, 90.00 degrees
With the nearest neighbours (Å) after each atom.
Element x y z (fractional)
1 Hf 0.0000 0.0000 0.0000  12 Ni 2.55-2.64
2 Si 0.0000 0.0000 0.3397  12 Ni 2.46-2.55
3 Si 0.0000 0.0000 0.6603  12 Ni 2.46-2.55
4 Ni 0.0000 0.5000 0.1823  2 Si 2.46, 8 Ni 2.47-2.64, 2 Hf 2.64
5 Ni 0.0000 0.5000 0.5000  8 Ni 2.46-2.55, 4 Si 2.48
6 Ni 0.0000 0.5000 0.8177  2 Si 2.46, 8 Ni 2.47-2.64, 2 Hf 2.64
7 Ni 0.5000 0.0000 0.1823  2 Si 2.46, 8 Ni 2.47-2.64, 2 Hf 2.64
8 Ni 0.5000 0.0000 0.5000  8 Ni 2.46-2.55, 4 Si 2.48
9 Ni 0.5000 0.0000 0.8177  2 Si 2.46, 8 Ni 2.47-2.64, 2 Hf 2.64
10 Ni 0.5000 0.5000 0.0000  4 Hf 2.55, 8 Ni 2.64
11 Ni 0.5000 0.5000 0.3415  8 Ni 2.46-2.47, 4 Si 2.55
12 Ni 0.5000 0.5000 0.6585  8 Ni 2.46-2.47, 4 Si 2.55

Space group: P4/mmm, No. 123

***

3.
First-principles (PBE) data for an optimized crystal structure of HfSi3Ni, as listed in Alexandria.

Cell lengths 4.9872, 4.9872, 4.9872 Å; angles 90.00, 90.00, 90.00 degrees
With the nearest neighbours (Å) after each atom.
Element x y z (fractional)
1 Hf 0.0000 0.0000 0.0000  6 Si 2.49
2 Si 0.0000 0.0000 0.5000  2 Hf 2.49
3 Si 0.0000 0.5000 0.0000  2 Hf 2.49
4 Si 0.5000 0.0000 0.0000  2 Hf 2.49
5 Ni 0.5000 0.5000 0.5000  12 Si 3.53

Space group: Pm-3m, No. 221

***

4.
First-principles (PBE) data for an optimized crystal structure of HfSi2Ni, as listed in Alexandria.

Cell lengths 3.7262, 3.7262, 17.3382 Å; angles 90.00, 90.00, 90.00 degrees
With the nearest neighbours (Å) after each atom.
Element x y z (fractional)
1 Hf 0.0000 0.0000 0.1165  8 Si 2.75-2.80, 4 Ni 2.97
2 Hf 0.0000 0.0000 0.8835  8 Si 2.75-2.80, 4 Ni 2.97
3 Hf 0.5000 0.5000 0.3835  8 Si 2.75-2.80, 4 Ni 2.97
4 Hf 0.5000 0.5000 0.6165  8 Si 2.75-2.80, 4 Ni 2.97
5 Si 0.0000 0.0000 0.3288  4 Ni 2.31
6 Si 0.0000 0.0000 0.6712  4 Ni 2.31
7 Si 0.0000 0.5000 0.0000  4 Si 2.63, 4 Hf 2.75
8 Si 0.0000 0.5000 0.5000  4 Si 2.63, 4 Hf 2.75
9 Si 0.5000 0.0000 0.0000  4 Si 2.63, 4 Hf 2.75
10 Si 0.5000 0.0000 0.5000  4 Si 2.63, 4 Hf 2.75
11 Si 0.5000 0.5000 0.1712  4 Ni 2.31
12 Si 0.5000 0.5000 0.8288  4 Ni 2.31
13 Ni 0.0000 0.5000 0.2500  4 Si 2.31
14 Ni 0.0000 0.5000 0.7500  4 Si 2.31
15 Ni 0.5000 0.0000 0.2500  4 Si 2.31
16 Ni 0.5000 0.0000 0.7500  4 Si 2.31

Space group: I4/mmm, No. 139

***

Short version: formation energy from raw total energies = -0.6613, -0.4648, 1.2705, -0.5709 eV/atom, in the order given.